A plane-wave DFT calculation with PBE was carried out for a geometry-optimized LaZr structure.

Energy (eV per atom): -6.541
Theoretical density (g/cm3): 6.69
Total magnetic moment (μB per atom): 0.000
Energy relative to the elements (meV/atom): 194

Lattice parameters (Å, degrees): 5.9853 5.5472 6.8769 90.00 90.00 90.00
Last column: nearest neighbours and their distance in Å.
Space group Pnma (No. 62)
One atom of each set of equivalent atoms:
La  0.0771  0.2500  0.1304  8 Zr 3.27-3.64, 4 La 3.42-3.43
Zr  0.0412  0.2500  0.6209  4 Zr 3.27-3.48, 8 La 3.27-3.64



A plane-wave DFT calculation with PBE was carried out for a geometry-optimized LaZr structure.

Energy (eV per atom): -6.541
Theoretical density (g/cm3): 6.78
Total magnetic moment (μB per atom): 0.001
Energy relative to the elements (meV/atom): 194

Lattice parameters (Å, degrees): 6.7155 5.5852 9.1734 90.00 100.54 90.00
Last column: nearest neighbours and their distance in Å.
Space group P2_1/m (No. 11)
One atom of each set of equivalent atoms:
La  0.0263  0.2500  0.1026  8 La 3.35-3.66, 4 Zr 3.35-3.46
La  0.1985  0.2500  0.7467  1 La 3.16, 6 Zr 3.23-3.50
La  0.3293  0.7500  0.2460  1 La 3.16, 7 Zr 3.21-3.49
Zr  0.1542  0.7500  0.5677  7 Zr 3.22-3.56, 5 La 3.23-3.46
Zr  0.3646  0.2500  0.4218  5 La 3.21-3.37, 7 Zr 3.22-3.50
Zr  0.4752  0.7500  0.8998  4 Zr 3.32-3.39, 8 La 3.35-3.57



A plane-wave DFT calculation with PBE was carried out for a geometry-optimized LaZr structure.

Energy (eV per atom): -5.191
Theoretical density (g/cm3): 4.78
Total magnetic moment (μB per atom): 0.176
Energy relative to the elements (meV/atom): 1544

Lattice parameters (Å, degrees): 5.5740 5.5740 5.9475 90.00 90.00 120.00
Last column: nearest neighbours and their distance in Å.
Space group P6_3mc (No. 186)
One atom of each set of equivalent atoms:
La  0.3333  0.6667  0.0000  5 Zr 2.95-3.22
Zr  0.3333  0.6667  0.4963  5 La 2.95-3.22



A plane-wave DFT calculation with PBE was carried out for a geometry-optimized LiLu5 structure.

Energy (eV per atom): -3.588
Theoretical density (g/cm3): 7.38
Total magnetic moment (μB per atom): 0.002

Lattice parameters (Å, degrees): 6.3751 6.3751 5.6333 90.00 90.00 120.00
Last column: nearest neighbours and their distance in Å.
Space group P6/mmm (No. 191)
One atom of each set of equivalent atoms:
Li  0.0000  0.0000  0.0000  6 Lu 3.68
Lu  0.0000  0.5000  0.5000  8 Lu 3.19-3.36
Lu  0.3333  0.6667  0.0000  9 Lu 3.36-3.68, 3 Li 3.68